Here is a geometry-optimized LiPaMn4O8 structure from Alexandria via LeMat-Bulk. Energies are from PBE with a Hubbard U.

Cell: 6.166 6.166 6.215 Å, 60.26 60.26 60.00°
Last column: magnetic moment on the atom in μB.
Atoms (fractional coordinates):
1 Li 0.386 0.386 0.841  0.00
2 Pa 0.000 0.000 0.999  -0.02
3 Mn 0.626 0.626 0.122  4.58
4 Mn 0.002 0.493 0.503  2.47
5 Mn 0.493 0.002 0.503  2.47
6 Mn 0.002 0.002 0.503  2.47
7 O 0.248 0.780 0.725  -0.05
8 O 0.780 0.248 0.725  -0.05
9 O 0.248 0.248 0.725  -0.05
10 O 0.234 0.234 0.297  -0.08
11 O 0.749 0.218 0.284  -0.03
12 O 0.218 0.749 0.284  -0.03
13 O 0.749 0.749 0.284  -0.03
14 O 0.765 0.765 0.705  -0.07

## Properties
SG ... R3m, No. 160
Uncorrected energy ... -7.605 eV/atom